No. 1
4
Lattice="3.6980 0.0000 0.0000 0.0000 3.6980 0.0000 0.0000 0.0000 3.7226" Properties=species:S:1:pos:R:3 comment="Cr2PtRh PBEsol optimized geometry" e_form_kj_per_mol_atoms=-11.4 space_group=P4/mmm total_magnetization_mub_per_cell=0.6 vol_a3_per_atom=12.7 dos_ef_per_ev_cell=4.204 total_energy_ev_per_atom=-9.01 pbc="T T T"
Cr 0.0000 1.8490 0.0000
Cr 1.8490 0.0000 0.0000
Pt 0.0000 0.0000 1.8613
Rh 1.8490 1.8490 1.8613

***

No. 2
4
Lattice="5.6929 0.0000 0.0000 0.0000 5.6929 0.0000 0.0000 0.0000 3.7908" Properties=species:S:1:pos:R:3 comment="KSrBr2 PBEsol optimized geometry" space_group=P4/mmm e_above_lowest_polymorph_mev_per_atom=52 total_magnetization_mub_per_cell=0.0 vol_a3_per_atom=30.7 dos_ef_per_ev_cell=1.902 total_energy_ev_per_atom=-3.07 e_form_raw_ev_per_fu=-5.57 pbc="T T T"
K 0.0000 0.0000 0.0000
Sr 2.8465 2.8465 0.0000
Br 0.0000 2.8465 1.8954
Br 2.8465 0.0000 1.8954

***

No. 3
4
Lattice="1.9620 -3.2201 0.0000 1.9620 3.2201 0.0000 0.0000 0.0000 6.8596" Properties=species:S:1:pos:R:3 comment="BaNiP2 PBEsol optimized geometry" e_form_kj_per_mol_atoms=-27.9 space_group=Cmmm total_magnetization_mub_per_cell=0.0 vol_a3_per_atom=21.7 dos_ef_per_ev_cell=3.553 total_energy_ev_per_atom=-5.26 pbc="T T T"
Ba 0.0000 0.0000 0.0000
Ni 0.0000 0.0000 3.4298
P 1.9620 0.0000 2.3417
P 1.9620 0.0000 4.5180

***

No. 4
4
Lattice="0.0000 3.6012 3.6012 3.6012 0.0000 3.6012 3.6012 3.6012 0.0000" Properties=species:S:1:pos:R:3 comment="Pm2ZnGa PBEsol optimized geometry" e_form_kj_per_mol_atoms=-44.6 space_group=Fm-3m total_magnetization_mub_per_cell=0.0 vol_a3_per_atom=23.4 dos_ef_per_ev_cell=4.207 total_energy_ev_per_atom=-4.26 pbc="T T T"
Pm 1.8006 1.8006 1.8006
Pm 5.4017 5.4017 5.4017
Zn 0.0000 0.0000 0.0000
Ga 3.6012 3.6012 3.6012

***

No. 5
4
Lattice="4.8333 0.0000 0.0000 0.0000 2.1939 6.2390 0.0000 -2.1939 6.2390" Properties=species:S:1:pos:R:3 comment="SrTe2Pb PBEsol optimized geometry" space_group=Amm2 total_magnetization_mub_per_cell=0.0 vol_a3_per_atom=33.1 total_energy_ev_per_atom=-4.22 e_form_raw_ev_per_fu=-3.98 pbc="T T T"
Sr 0.0000 0.0000 0.0000
Te 0.0000 0.0000 9.0584
Te 2.4166 0.0000 5.8843
Pb 2.4166 0.0000 2.9488

***

No. 6
4
Lattice="0.0000 3.2958 3.2958 3.2958 0.0000 3.2958 3.2958 3.2958 0.0000" Properties=species:S:1:pos:R:3 comment="Hf2NbCr PBEsol optimized geometry" e_form_kj_per_mol_atoms=20.5 space_group=Fm-3m total_magnetization_mub_per_cell=2.4 vol_a3_per_atom=17.9 dos_ef_per_ev_cell=6.923 total_energy_ev_per_atom=-10.31 pbc="T T T"
Hf 1.6479 1.6479 1.6479
Hf 4.9437 4.9437 4.9437
Nb 0.0000 0.0000 0.0000
Cr 3.2958 3.2958 3.2958

***

No. 7
4
Lattice="1.6588 0.9577 10.3604 -1.6588 0.9577 10.3604 0.0000 -1.9155 10.3604" Properties=species:S:1:pos:R:3 comment="TcTe3 PBEsol optimized geometry" space_group=R-3m e_above_lowest_polymorph_mev_per_atom=0 total_magnetization_mub_per_cell=0.0 vol_a3_per_atom=24.7 dos_ef_per_ev_cell=2.664 total_energy_ev_per_atom=-5.37 e_form_raw_ev_per_fu=0.38 pbc="T T T"
Tc 0.0000 0.0000 0.0000
Te 0.0000 0.0000 8.4673
Te 0.0000 0.0000 15.5406
Te 0.0000 0.0000 22.6139

***

No. 8
5
Lattice="5.3320 0.0000 0.0000 0.0000 5.3320 0.0000 0.0000 0.0000 5.3320" Properties=species:S:1:pos:R:3 comment="Pb3WBr PBEsol optimized geometry" space_group=Pm-3m total_magnetization_mub_per_cell=0.0 vol_a3_per_atom=30.3 dos_ef_per_ev_cell=2.134 total_energy_ev_per_atom=-5.19 e_form_raw_ev_per_fu=1.73 pbc="T T T"
Pb 0.0000 0.0000 2.6660
Pb 0.0000 2.6660 0.0000
Pb 2.6660 0.0000 0.0000
W 0.0000 0.0000 0.0000
Br 2.6660 2.6660 2.6660

***

No. 9
8
Lattice="-3.4974 3.4974 3.6155 3.4974 -3.4974 3.6155 3.4974 3.4974 -3.6155" Properties=species:S:1:pos:R:3 comment="AlPbS2 PBEsol optimized geometry" space_group=I-42d total_magnetization_mub_per_cell=0.0 vol_a3_per_atom=22.1 dos_ef_per_ev_cell=3.609 total_energy_ev_per_atom=-4.78 e_form_raw_ev_per_fu=-2.26 pbc="T T T"
Al 0.0000 0.0000 0.0000
Al 0.0000 3.4974 1.8077
Pb 3.4974 0.0000 1.8077
Pb 0.0000 0.0000 3.6155
S 1.7487 1.1448 -0.9039
S 2.3526 -1.7487 4.5194
S 1.7487 2.3526 2.7116
S 1.1448 5.2461 0.9039

***

No. 10
14
Lattice="3.7146 0.0000 0.0000 0.0000 3.7146 0.0000 0.0000 0.0000 11.8863" Properties=species:S:1:pos:R:3 comment="SrCa3Mn2O8 PBEsol optimized geometry" space_group=P4mm total_magnetization_mub_per_cell=6.0 vol_a3_per_atom=11.7 dos_ef_per_ev_cell=3.663 total_energy_ev_per_atom=-7.49 e_form_raw_ev_per_fu=-35.06 pbc="T T T"
Sr 0.0000 0.0000 0.0000
Ca 0.0000 0.0000 8.4234
Ca 1.8573 1.8573 2.5609
Ca 1.8573 1.8573 5.9495
Mn 0.0000 0.0000 4.2744
Mn 1.8573 1.8573 10.1005
O 0.0000 0.0000 2.3796
O 0.0000 0.0000 6.1709
O 0.0000 1.8573 4.2582
O 0.0000 1.8573 10.0684
O 1.8573 0.0000 4.2582
O 1.8573 0.0000 10.0684
O 1.8573 1.8573 0.1762
O 1.8573 1.8573 8.2023

***

No. 11
3
Lattice="4.1136 0.0000 0.0000 -2.0568 3.5625 0.0000 0.0000 0.0000 4.0738" Properties=species:S:1:pos:R:3 comment="CeZnSi PBEsol optimized geometry" space_group=P-6m2 total_magnetization_mub_per_cell=0.5 vol_a3_per_atom=19.9 dos_ef_per_ev_cell=5.390 total_energy_ev_per_atom=-5.18 e_form_raw_ev_per_fu=-1.60 pbc="T T T"
Ce 0.0000 0.0000 0.0000
Zn 2.0568 1.1875 2.0369
Si 0.0000 2.3750 2.0369

***

No. 12
5
Lattice="-2.1564 2.1564 4.5023 2.1564 -2.1564 4.5023 2.1564 2.1564 -4.5023" Properties=species:S:1:pos:R:3 comment="LaZn2Ni2 PBEsol optimized geometry" e_form_kj_per_mol_atoms=-25.8 space_group=I4/mmm total_magnetization_mub_per_cell=0.0 vol_a3_per_atom=16.7 dos_ef_per_ev_cell=3.805 total_energy_ev_per_atom=-4.43 pbc="T T T"
La 0.0000 0.0000 0.0000
Zn 0.0000 0.0000 3.2661
Zn 0.0000 0.0000 5.7385
Ni 2.1564 0.0000 2.2511
Ni 0.0000 2.1564 2.2511

***

No. 13
5
Lattice="5.1548 0.0000 0.0000 0.0000 5.1548 0.0000 0.0000 0.0000 4.1050" Properties=species:S:1:pos:R:3 comment="InCuSi2B PBEsol optimized geometry" space_group=P4/mmm total_magnetization_mub_per_cell=0.0 vol_a3_per_atom=21.8 dos_ef_per_ev_cell=2.447 total_energy_ev_per_atom=-3.34 e_form_raw_ev_per_fu=9.13 pbc="T T T"
In 0.0000 0.0000 0.0000
Cu 2.5774 2.5774 2.0525
Si 0.0000 2.5774 0.0000
Si 2.5774 0.0000 0.0000
B 0.0000 0.0000 2.0525

***

No. 14
5
Lattice="4.9418 0.0000 0.0000 0.0000 4.9418 0.0000 0.0000 0.0000 4.7932" Properties=species:S:1:pos:R:3 comment="CuSn2PdBr PBEsol optimized geometry" space_group=P4/mmm total_magnetization_mub_per_cell=0.0 vol_a3_per_atom=23.4 dos_ef_per_ev_cell=3.684 total_energy_ev_per_atom=-3.85 e_form_raw_ev_per_fu=1.45 pbc="T T T"
Cu 0.0000 0.0000 0.0000
Sn 0.0000 2.4709 0.0000
Sn 2.4709 0.0000 0.0000
Pd 0.0000 0.0000 2.3966
Br 2.4709 2.4709 2.3966

***

No. 15
4
Lattice="2.8562 0.0000 0.0000 0.0000 4.7541 0.0000 0.0000 0.0000 4.9086" Properties=species:S:1:pos:R:3 comment="Zn2SbW PBEsol optimized geometry" space_group=Pmm2 total_magnetization_mub_per_cell=0.0 vol_a3_per_atom=16.7 dos_ef_per_ev_cell=1.752 total_energy_ev_per_atom=-4.99 e_form_raw_ev_per_fu=1.57 pbc="T T T"
Zn 0.0000 0.0000 0.0000
Zn 0.0000 2.3771 1.4235
Sb 1.4281 2.3771 3.8491
W 1.4281 0.0000 2.3938

***

No. 16
5
Lattice="3.5994 0.0000 0.0000 0.0000 3.5994 0.0000 0.0000 0.0000 3.5994" Properties=species:S:1:pos:R:3 comment="OsN3Cl PBEsol optimized geometry" space_group=Pm-3m total_magnetization_mub_per_cell=0.0 vol_a3_per_atom=9.3 dos_ef_per_ev_cell=3.124 total_energy_ev_per_atom=-5.11 e_form_raw_ev_per_fu=14.26 pbc="T T T"
Os 0.0000 0.0000 0.0000
N 0.0000 1.7997 1.7997
N 1.7997 0.0000 1.7997
N 1.7997 1.7997 0.0000
Cl 1.7997 1.7997 1.7997

***

No. 17
8
Lattice="-2.3462 2.3462 4.5245 2.3462 -2.3462 4.5245 2.3462 2.3462 -4.5245" Properties=species:S:1:pos:R:3 comment="HIr2S PBEsol optimized geometry" space_group=I-42d total_magnetization_mub_per_cell=0.0 vol_a3_per_atom=12.5 dos_ef_per_ev_cell=4.895 total_energy_ev_per_atom=-6.65 pbc="T T T"
H 0.0000 0.0000 0.0000
H 0.0000 2.3462 2.2622
Ir 3.5192 0.8024 -1.1311
Ir 0.8024 1.1731 1.1311
Ir -1.1731 1.5437 3.3933
Ir 1.5437 1.1731 5.6556
S 2.3462 0.0000 2.2622
S 0.0000 0.0000 4.5245

***

No. 18
4
Lattice="1.7774 1.0262 6.5023 -1.7774 1.0262 6.5023 0.0000 -2.0523 6.5023" Properties=species:S:1:pos:R:3 comment="TiHSe2 PBEsol optimized geometry" space_group=R-3m total_magnetization_mub_per_cell=0.0 vol_a3_per_atom=17.8 dos_ef_per_ev_cell=1.762 total_energy_ev_per_atom=-5.52 pbc="T T T"
Ti 0.0000 0.0000 0.0000
H 0.0000 0.0000 9.7534
Se 0.0000 0.0000 8.0057
Se 0.0000 0.0000 11.5011

***

No. 19
20
Lattice="4.0856 -5.1448 0.0000 4.0856 5.1448 0.0000 -0.0188 0.0000 4.4674" Properties=species:S:1:pos:R:3 comment="Mn3HOs PBEsol optimized geometry" space_group=C2/c e_above_lowest_polymorph_mev_per_atom=0 total_magnetization_mub_per_cell=0.0 vol_a3_per_atom=9.4 dos_ef_per_ev_cell=16.497 total_energy_ev_per_atom=-9.03 pbc="T T T"
Mn 1.0357 0.6746 2.5894
Mn 3.0325 3.1890 4.0762
Mn 2.9822 1.9741 1.8622
Mn 1.0451 -0.6746 0.3557
Mn 5.1105 3.1890 2.6249
Mn 5.1797 1.9741 0.3715
Mn 2.9728 -1.9741 4.0959
Mn 3.0419 -3.1890 1.8425
Mn 7.1074 0.6746 4.1117
Mn 5.1703 -1.9741 2.6052
Mn 5.1199 -3.1890 0.3912
Mn 7.1168 -0.6746 1.8780
H 4.0715 4.5198 3.3506
H 4.0809 3.2272 1.1169
H 4.0715 -3.2272 3.3506
H 4.0809 -4.5198 1.1169
Os 3.0001 0.6997 4.1078
Os 3.0095 -0.6997 1.8741
Os 5.1429 0.6997 2.5933
Os 5.1523 -0.6997 0.3596

***

No. 20
4
Lattice="2.4990 -3.6437 0.0000 2.4990 3.6437 0.0000 0.0000 0.0000 2.6577" Properties=species:S:1:pos:R:3 comment="Co2AsOs PBEsol optimized geometry" e_form_kj_per_mol_atoms=17.9 space_group=Cmmm total_magnetization_mub_per_cell=0.0 vol_a3_per_atom=12.1 dos_ef_per_ev_cell=5.482 total_energy_ev_per_atom=-8.01 pbc="T T T"
Co 1.2495 1.8218 0.0000
Co 1.2495 -1.8218 0.0000
As 0.0000 0.0000 1.3288
Os 2.4990 0.0000 1.3288

***

No. 21
5
Lattice="4.3860 0.0000 0.0000 0.0000 4.3860 0.0000 0.0000 0.0000 4.4297" Properties=species:S:1:pos:R:3 comment="CrFePS2 PBEsol optimized geometry" space_group=P4/mmm total_magnetization_mub_per_cell=4.6 vol_a3_per_atom=17.0 dos_ef_per_ev_cell=6.918 total_energy_ev_per_atom=-6.10 e_form_raw_ev_per_fu=3.25 pbc="T T T"
Cr 0.0000 0.0000 0.0000
Fe 2.1930 2.1930 2.2148
P 0.0000 0.0000 2.2148
S 0.0000 2.1930 0.0000
S 2.1930 0.0000 0.0000

***

No. 22
4
Lattice="-2.1094 2.1094 5.0497 2.1094 -2.1094 5.0497 2.1094 2.1094 -5.0497" Properties=species:S:1:pos:R:3 comment="KSe3 PBEsol optimized geometry" space_group=I4/mmm e_above_lowest_polymorph_mev_per_atom=400 total_magnetization_mub_per_cell=0.0 vol_a3_per_atom=22.5 dos_ef_per_ev_cell=3.165 total_energy_ev_per_atom=-3.21 e_form_raw_ev_per_fu=-0.17 pbc="T T T"
K 0.0000 0.0000 0.0000
Se 2.1094 0.0000 2.5248
Se 0.0000 0.0000 5.0497
Se 0.0000 2.1094 2.5248

***

No. 23
4
Lattice="-1.4079 2.1585 4.3017 1.4079 -2.1585 4.3017 1.4079 2.1585 -4.3017" Properties=species:S:1:pos:R:3 comment="LiReRh2 PBEsol optimized geometry" e_form_kj_per_mol_atoms=8.4 space_group=Imm2 total_magnetization_mub_per_cell=0.0 vol_a3_per_atom=13.1 dos_ef_per_ev_cell=2.495 total_energy_ev_per_atom=-7.81 pbc="T T T"
Li 0.0000 0.0000 0.0000
Re 0.0000 2.1585 2.1392
Rh 1.4079 0.0000 1.9808
Rh 0.0000 0.0000 4.2947

***

No. 24
8
Lattice="6.5673 0.0000 0.0000 -3.2837 5.6875 0.0000 0.0000 0.0000 5.1235" Properties=species:S:1:pos:R:3 comment="TmMg3 PBEsol optimized geometry" e_form_kj_per_mol_atoms=-3.6 space_group=P6_3/mmc total_magnetization_mub_per_cell=0.0 vol_a3_per_atom=23.9 dos_ef_per_ev_cell=6.589 total_energy_ev_per_atom=-2.55 pbc="T T T"
Tm 0.0000 3.7916 1.2809
Tm 3.2837 1.8958 3.8426
Mg 0.0000 1.8691 3.8426
Mg -1.6649 4.7529 3.8426
Mg 1.6187 0.9346 1.2809
Mg 1.6649 4.7529 3.8426
Mg 4.9486 0.9346 1.2809
Mg 3.2837 3.8183 1.2809

***

No. 25
4
Lattice="1.4510 0.8377 9.7816 -1.4510 0.8377 9.7816 0.0000 -1.6754 9.7816" Properties=species:S:1:pos:R:3 comment="Hg2MoPt PBEsol optimized geometry" e_form_kj_per_mol_atoms=16.5 space_group=R3m e_above_lowest_polymorph_mev_per_atom=0 total_magnetization_mub_per_cell=0.0 vol_a3_per_atom=17.8 dos_ef_per_ev_cell=2.802 total_energy_ev_per_atom=-4.80 pbc="T T T"
Hg 0.0000 0.0000 0.0000
Hg 0.0000 0.0000 6.9764
Mo 0.0000 0.0000 22.0201
Pt 0.0000 0.0000 14.2937

***

No. 26
5
Lattice="6.1509 0.0000 0.0000 0.0000 6.1509 0.0000 0.0000 0.0000 5.1019" Properties=species:S:1:pos:R:3 comment="Sr2TiTlAg PBEsol optimized geometry" e_form_kj_per_mol_atoms=72.6 space_group=P4/mmm total_magnetization_mub_per_cell=3.0 vol_a3_per_atom=38.6 dos_ef_per_ev_cell=11.021 total_energy_ev_per_atom=-2.84 pbc="T T T"
Sr 0.0000 3.0754 0.0000
Sr 3.0754 0.0000 0.0000
Ti 0.0000 0.0000 2.5509
Tl 3.0754 3.0754 0.0000
Ag 3.0754 3.0754 2.5509

***

No. 27
5
Lattice="4.5809 0.0000 0.0000 0.0000 4.5809 0.0000 0.0000 0.0000 4.5809" Properties=species:S:1:pos:R:3 comment="Tc3OsPd PBEsol optimized geometry" e_form_kj_per_mol_atoms=186.0 space_group=Pm-3m total_magnetization_mub_per_cell=0.0 vol_a3_per_atom=19.2 dos_ef_per_ev_cell=7.219 total_energy_ev_per_atom=-8.47 pbc="T T T"
Tc 0.0000 0.0000 2.2905
Tc 0.0000 2.2905 0.0000
Tc 2.2905 0.0000 0.0000
Os 0.0000 0.0000 0.0000
Pd 2.2905 2.2905 2.2905

***

No. 28
4
Lattice="3.0008 0.0000 0.0000 0.0000 4.5350 0.0000 0.0000 0.0000 4.5403" Properties=species:S:1:pos:R:3 comment="ZnTc2Sb PBEsol optimized geometry" space_group=Pmm2 e_above_lowest_polymorph_mev_per_atom=0 total_magnetization_mub_per_cell=0.0 vol_a3_per_atom=15.4 dos_ef_per_ev_cell=2.995 total_energy_ev_per_atom=-6.94 e_form_raw_ev_per_fu=0.93 pbc="T T T"
Zn 0.0000 0.0000 0.0000
Tc 0.0000 2.2675 1.4373
Tc 1.5004 0.0000 2.2241
Sb 1.5004 2.2675 3.7314